VASP calculation (PBEsol) on a relaxed CaMg2Tc crystal.

The energy relative to the elements is 345 meV per atom. Its density is 3.78 g/cm³. The energy above the most stable polymorph in this dataset is 0.0 meV per atom. As for the raw total energy: -3.8632 eV/atom.

Cell lengths 3.0698, 3.8341, 6.9615 Å; angles 90.00, 90.00, 90.00 degrees
With the nearest neighbours (Å) after each atom.
Space group Pmmm (No. 47)
Unique sites:
Ca (0.0000, 0.0000, 0.0000)  2 Ca 3.07, 8 Mg 3.24
Mg (0.5000, 0.5000, 0.3032)  1 Mg 2.74, 4 Tc 2.81
Tc (0.0000, 0.0000, 0.5000)  8 Mg 2.81, 2 Tc 3.07

VASP calculation (PBEsol) on a relaxed RbBaHf2Mo crystal.

The energy relative to the elements is 2584 meV per atom. Its density is 7.72 g/cm³. As for the raw total energy: -4.6054 eV/atom.

Cell lengths 5.0939, 5.0939, 5.6001 Å; angles 90.00, 90.00, 90.00 degrees
With the nearest neighbours (Å) after each atom.
Space group P4/mmm (No. 123)
Unique sites:
Rb (0.0000, 0.0000, 0.0000)  4 Hf 2.55, 2 Ba 2.80
Ba (0.0000, 0.0000, 0.5000)  2 Rb 2.80
Hf (0.0000, 0.5000, 0.0000)  2 Rb 2.55
Mo (0.5000, 0.5000, 0.5000)  4 Ba 3.60, 8 Hf 3.79

VASP calculation (PBEsol) on a relaxed CaAlMo2 crystal.

The energy relative to the elements is 548 meV per atom. Its density is 6.20 g/cm³. As for the raw total energy: -6.8918 eV/atom.

Cell lengths 2.8621, 2.8621, 29.3378 Å; angles 90.00, 90.00, 120.00 degrees
With the nearest neighbours (Å) after each atom.
Space group R-3m (No. 166, hexagonal axes)
Unique sites:
Ca (0.0000, 0.0000, 0.0000)  6 Ca 2.86, 6 Mo 3.15
Al (0.0000, 0.0000, 0.5000)  6 Mo 2.76, 6 Al 2.86
Mo (0.0000, 0.0000, 0.2418)  3 Al 2.76, 6 Mo 2.86

VASP calculation (PBEsol) on a relaxed ZrRePb3 crystal.

The energy relative to the elements is 1701 meV per atom. Its density is 8.88 g/cm³. As for the raw total energy: -5.1821 eV/atom.

Cell lengths 5.5188, 5.5188, 5.5188 Å; angles 90.00, 90.00, 90.00 degrees
With the nearest neighbours (Å) after each atom.
Space group Pm-3m (No. 221)
Unique sites:
Zr (0.0000, 0.0000, 0.0000)  6 Pb 2.76
Re (0.5000, 0.5000, 0.5000)  12 Pb 3.90
Pb (0.0000, 0.0000, 0.5000)  2 Zr 2.76

VASP calculation (PBEsol) on a relaxed IrS2NCl crystal.

Its density is 6.05 g/cm³. As for the raw total energy: -5.1474 eV/atom.

Cell lengths 4.7931, 4.7931, 3.6533 Å; angles 90.00, 90.00, 90.00 degrees
With the nearest neighbours (Å) after each atom.
Space group P4/mmm (No. 123)
Unique sites:
Ir (0.0000, 0.0000, 0.0000)  2 N 1.83
S (0.0000, 0.5000, 0.0000)  2 Ir 2.40
N (0.0000, 0.0000, 0.5000)  2 Ir 1.83
Cl (0.5000, 0.5000, 0.5000)  8 S 3.01

VASP calculation (PBEsol) on a relaxed AgMoRu2 crystal.

The energy relative to the elements is 339 meV per atom. Its density is 11.58 g/cm³. The energy above the most stable polymorph in this dataset is 0.0 meV per atom. As for the raw total energy: -8.5166 eV/atom.

Cell lengths 2.7170, 3.9260, 5.4582 Å; angles 90.00, 90.00, 90.00 degrees
With the nearest neighbours (Å) after each atom.
Space group Pmm2 (No. 25)
Unique sites:
Ag (0.0000, 0.0000, 0.0000)  6 Ru 2.69-2.80, 2 Ag 2.72, 4 Mo 2.83
Mo (0.5000, 0.5000, 0.2778)  5 Ru 2.47-2.70, 2 Mo 2.72
Ru (0.0000, 0.0000, 0.5073)  6 Ru 2.68-2.72, 2 Ag 2.69-2.77, 4 Mo 2.70
Ru (0.5000, 0.5000, 0.7304)  1 Mo 2.47, 6 Ru 2.68-2.72

VASP calculation (PBEsol) on a relaxed Hf2BiS crystal.

Its density is 12.60 g/cm³. As for the raw total energy: -7.8872 eV/atom.

Cell lengths 6.8056, 6.8056, 6.8056 Å; angles 90.00, 90.00, 90.00 degrees
With the nearest neighbours (Å) after each atom.
Space group Fm-3m (No. 225)
Unique sites:
Hf (0.2500, 0.2500, 0.2500)  4 S 2.95, 4 Bi 2.95
Bi (0.0000, 0.0000, 0.0000)  8 Hf 2.95
S (0.0000, 0.0000, 0.5000)  8 Hf 2.95

VASP calculation (PBEsol) on a relaxed SrPbAu2 crystal.

The energy relative to the elements is -393 meV per atom. Its density is 11.78 g/cm³. As for the raw total energy: -3.8143 eV/atom.

Cell lengths 3.7340, 3.7340, 6.9648 Å; angles 90.00, 90.00, 90.00 degrees
With the nearest neighbours (Å) after each atom.
Space group P4/mmm (No. 123)
Unique sites:
Sr (0.0000, 0.0000, 0.0000)  8 Au 3.24, 2 Pb 3.48
Pb (0.0000, 0.0000, 0.5000)  8 Au 3.09
Au (0.5000, 0.5000, 0.2703)  4 Pb 3.09, 1 Au 3.20, 4 Sr 3.24

VASP calculation (PBEsol) on a relaxed Zr2BeIr crystal.

The energy relative to the elements is -365 meV per atom. Its density is 9.01 g/cm³. As for the raw total energy: -8.3658 eV/atom.

Cell lengths 4.0805, 4.0805, 14.7047 Å; angles 90.00, 90.00, 120.00 degrees
With the nearest neighbours (Å) after each atom.
Space group R3m (No. 160, hexagonal axes)
Unique sites:
Zr (0.0000, 0.0000, 0.0000)  3 Ir 2.70, 3 Be 2.81, 1 Zr 2.86
Zr (0.0000, 0.0000, 0.1945)  3 Be 2.70, 3 Ir 2.82, 1 Zr 2.86
Be (0.0000, 0.0000, 0.7709)  3 Ir 2.37
Ir (0.0000, 0.0000, 0.4228)  3 Be 2.37

VASP calculation (PBEsol) on a relaxed Ba2ZnNiRh crystal.

The energy relative to the elements is 281 meV per atom. Its density is 5.39 g/cm³. As for the raw total energy: -3.7539 eV/atom.

Cell lengths 5.8277, 5.8277, 4.5537 Å; angles 90.00, 90.00, 90.00 degrees
With the nearest neighbours (Å) after each atom.
Space group P4/mmm (No. 123)
Unique sites:
Ba (0.0000, 0.5000, 0.0000)  2 Rh 2.91
Zn (0.0000, 0.0000, 0.5000)  8 Ba 3.70, 4 Ni 4.12
Ni (0.5000, 0.5000, 0.5000)  2 Rh 2.28
Rh (0.5000, 0.5000, 0.0000)  2 Ni 2.28

VASP calculation (PBEsol) on a relaxed BaBe2Te crystal.

Its density is 4.51 g/cm³. As for the raw total energy: -3.4283 eV/atom.

Cell lengths 4.4762, 4.5868, 5.0764 Å; angles 90.00, 90.00, 90.00 degrees
With the nearest neighbours (Å) after each atom.
Space group Pmmm (No. 47)
Unique sites:
Ba (0.0000, 0.0000, 0.0000)  4 Te 3.38, 8 Be 3.59
Be (0.2420, 0.5000, 0.5000)  2 Be 2.17-2.31
Te (0.5000, 0.0000, 0.5000)  4 Be 2.57

VASP calculation (PBEsol) on a relaxed NaAu3C crystal.

The energy relative to the elements is 362 meV per atom. Its density is 12.72 g/cm³. The energy above the most stable polymorph in this dataset is 0.0 meV per atom. As for the raw total energy: -4.2006 eV/atom.

Cell lengths 4.3395, 4.3395, 4.3395 Å; angles 90.00, 90.00, 90.00 degrees
With the nearest neighbours (Å) after each atom.
Space group Pm-3m (No. 221)
Unique sites:
Na (0.0000, 0.0000, 0.0000)  12 Au 3.07
Au (0.0000, 0.5000, 0.5000)  2 C 2.17
C (0.5000, 0.5000, 0.5000)  6 Au 2.17

VASP calculation (PBEsol) on a relaxed LaGaCo2Au crystal.

The energy relative to the elements is 640 meV per atom. Its density is 8.17 g/cm³. As for the raw total energy: -4.9767 eV/atom.

Cell lengths 4.4002, 4.4002, 5.4919 Å; angles 90.00, 90.00, 90.00 degrees
With the nearest neighbours (Å) after each atom.
Space group P4/mmm (No. 123)
Unique sites:
La (0.0000, 0.0000, 0.0000)  2 Ga 2.75
Ga (0.0000, 0.0000, 0.5000)  4 Co 2.20
Co (0.0000, 0.5000, 0.5000)  2 Ga 2.20
Au (0.5000, 0.5000, 0.0000)  4 La 3.11

VASP calculation (PBEsol) on a relaxed TiBrNO2 crystal.

Its density is 4.82 g/cm³. As for the raw total energy: -5.1364 eV/atom.

Cell lengths 3.9341, 3.9341, 3.8695 Å; angles 90.00, 90.00, 90.00 degrees
With the nearest neighbours (Å) after each atom.
Space group P4/mmm (No. 123)
Unique sites:
Ti (0.0000, 0.0000, 0.0000)  8 O 2.76, 4 N 2.78
Br (0.5000, 0.5000, 0.5000)  2 N 1.93, 4 O 1.97
N (0.5000, 0.5000, 0.0000)  2 Br 1.93
O (0.0000, 0.5000, 0.5000)  2 Br 1.97

VASP calculation (PBEsol) on a relaxed Mg2AlAg crystal.

The energy relative to the elements is -79 meV per atom. Its density is 4.16 g/cm³. As for the raw total energy: -2.7882 eV/atom.

Cell lengths 4.2701, 4.2701, 4.0153 Å; angles 90.00, 90.00, 90.00 degrees
With the nearest neighbours (Å) after each atom.
Space group P4/mmm (No. 123)
Unique sites:
Mg (0.0000, 0.5000, 0.0000)  4 Ag 2.93, 4 Al 2.93, 4 Mg 3.02
Al (0.0000, 0.0000, 0.5000)  8 Mg 2.93, 4 Ag 3.02
Ag (0.5000, 0.5000, 0.5000)  8 Mg 2.93, 4 Al 3.02

VASP calculation (PBEsol) on a relaxed TaMn3Sb crystal.

Its density is 7.69 g/cm³. As for the raw total energy: -7.6877 eV/atom.

Cell lengths 4.6565, 4.6565, 4.6565 Å; angles 90.00, 90.00, 90.00 degrees
With the nearest neighbours (Å) after each atom.
Space group Pm-3m (No. 221)
Unique sites:
Ta (0.0000, 0.0000, 0.0000)  12 Mn 3.29
Mn (0.0000, 0.5000, 0.5000)  2 Sb 2.33
Sb (0.5000, 0.5000, 0.5000)  6 Mn 2.33

VASP calculation (PBEsol) on a relaxed Ba3SrCa2W2O12 crystal.

Its density is 6.53 g/cm³. As for the raw total energy: -7.9826 eV/atom.

Cell lengths 5.8806, 5.9241, 10.1529 Å; angles 73.32, 73.38, 60.31 degrees
With the nearest neighbours (Å) after each atom.
Space group P1 (No. 1)
Unique sites:
Ba (0.0000, 0.0000, 0.0000)  7 O 2.70-3.00
Ba (0.2480, 0.2535, 0.2499)  6 O 2.71-2.87
Ba (0.5052, 0.4976, 0.4996)  6 O 2.66-2.92
Sr (0.7342, 0.7583, 0.7569)  6 O 2.55-2.81
Ca (0.3743, 0.3765, 0.8719)  6 O 2.27-2.30
Ca (0.8755, 0.8754, 0.3782)  6 O 2.28-2.29
W (0.1259, 0.1254, 0.6278)  6 O 1.93-1.94
W (0.6261, 0.6259, 0.1230)  6 O 1.93
O (0.0786, 0.9651, 0.5038)  1 W 1.93
O (0.1488, 0.3146, 0.7464)  1 W 1.93
O (0.2695, 0.7233, 0.2264)  1 W 1.93
O (0.2774, 0.7936, 0.7529)  1 W 1.94
O (0.4897, 0.0342, 0.5335)  1 W 1.94
O (0.5026, 0.9569, 0.9944)  1 W 1.93
O (0.5650, 0.4712, 0.0017)  1 W 1.93
O (0.6896, 0.7833, 0.2428)  1 W 1.93
O (0.7492, 0.2905, 0.2485)  1 W 1.93
O (0.7733, 0.1860, 0.7282)  1 W 1.93
O (0.9850, 0.5289, 0.0234)  1 W 1.93
O (0.9978, 0.4559, 0.4995)  1 W 1.93

VASP calculation (PBEsol) on a relaxed NbReBr2F crystal.

Its density is 6.12 g/cm³. As for the raw total energy: -5.2541 eV/atom.

Cell lengths 5.0046, 5.0046, 4.9570 Å; angles 90.00, 90.00, 90.00 degrees
With the nearest neighbours (Å) after each atom.
Space group P4/mmm (No. 123)
Unique sites:
Nb (0.0000, 0.0000, 0.0000)  2 Re 2.48, 4 Br 2.50
Re (0.0000, 0.0000, 0.5000)  2 Nb 2.48
Br (0.0000, 0.5000, 0.0000)  2 Nb 2.50
F (0.5000, 0.5000, 0.5000)  8 Br 3.52, 4 Re 3.54

VASP calculation (PBEsol) on a relaxed LiZn3 crystal.

The energy relative to the elements is -114 meV per atom. Its density is 6.11 g/cm³. As for the raw total energy: -1.7919 eV/atom.

Cell lengths 2.5942, 4.0482, 5.3355 Å; angles 90.00, 99.71, 90.00 degrees
With the nearest neighbours (Å) after each atom.
Space group P2/m (No. 10)
Unique sites:
Li (0.0000, 0.0000, 0.0000)  2 Li 2.59, 10 Zn 2.65-2.83
Zn (0.0000, 0.0000, 0.5000)  10 Zn 2.59-2.88, 2 Li 2.67
Zn (0.4862, 0.5000, 0.7532)  8 Zn 2.59-2.88, 4 Li 2.65-2.83

VASP calculation (PBEsol) on a relaxed CaTe2As crystal.

Its density is 5.34 g/cm³. As for the raw total energy: -4.0978 eV/atom.

Cell lengths 12.9320, 4.3439, 4.3441 Å; angles 90.00, 109.36, 90.00 degrees
With the nearest neighbours (Å) after each atom.
Space group C2/m (No. 12)
Unique sites:
Ca (0.0000, 0.0000, 0.0000)  4 As 3.07, 2 Te 3.26
Te (0.2329, 0.5000, 0.7330)  1 As 2.84, 4 Te 3.10
As (0.0000, 0.5000, 0.5000)  2 Te 2.84, 4 Ca 3.07

VASP calculation (PBEsol) on a relaxed TaZnIN2 crystal.

Its density is 7.21 g/cm³. As for the raw total energy: -6.2904 eV/atom.

Cell lengths 4.0042, 4.0042, 5.7649 Å; angles 90.00, 90.00, 90.00 degrees
With the nearest neighbours (Å) after each atom.
Space group P4/mmm (No. 123)
Unique sites:
Ta (0.0000, 0.0000, 0.0000)  4 N 2.00
Zn (0.5000, 0.5000, 0.5000)  4 I 2.83
I (0.0000, 0.0000, 0.5000)  4 Zn 2.83, 2 Ta 2.88
N (0.0000, 0.5000, 0.0000)  2 Ta 2.00

VASP calculation (PBEsol) on a relaxed MnCo2Mo crystal.

The energy relative to the elements is 52 meV per atom. Its density is 9.72 g/cm³. The energy above the most stable polymorph in this dataset is 83.2 meV per atom. As for the raw total energy: -9.1984 eV/atom.

Cell lengths 3.5638, 3.5638, 7.2283 Å; angles 90.00, 90.00, 90.00 degrees
With the nearest neighbours (Å) after each atom.
Space group I-4m2 (No. 119)
Unique sites:
Mn (0.0000, 0.0000, 0.0000)  8 Co 2.52-2.54, 4 Mo 2.54
Co (0.0000, 0.0000, 0.5000)  4 Mn 2.52, 4 Mo 2.54, 4 Co 2.54
Co (0.0000, 0.5000, 0.2500)  4 Mo 2.52, 4 Mn 2.54, 4 Co 2.54
Mo (0.0000, 0.5000, 0.7500)  8 Co 2.52-2.54, 4 Mn 2.54

VASP calculation (PBEsol) on a relaxed BAsOs3 crystal.

The energy relative to the elements is 684 meV per atom. Its density is 15.96 g/cm³. As for the raw total energy: -9.0702 eV/atom.

Cell lengths 4.0876, 4.0876, 4.0876 Å; angles 90.00, 90.00, 90.00 degrees
With the nearest neighbours (Å) after each atom.
Space group Pm-3m (No. 221)
Unique sites:
B (0.0000, 0.0000, 0.0000)  6 Os 2.04
As (0.5000, 0.5000, 0.5000)  12 Os 2.89
Os (0.0000, 0.0000, 0.5000)  2 B 2.04

VASP calculation (PBEsol) on a relaxed SrGe2Sb2 crystal.

Its density is 5.85 g/cm³. As for the raw total energy: -4.3397 eV/atom.

Cell lengths 4.2887, 4.2887, 14.7054 Å; angles 90.00, 90.00, 90.00 degrees
With the nearest neighbours (Å) after each atom.
Space group I4/mmm (No. 139)
Unique sites:
Sr (0.0000, 0.0000, 0.0000)  8 Sb 3.41
Ge (0.0000, 0.5000, 0.2500)  4 Sb 3.01, 4 Ge 3.03
Sb (0.0000, 0.0000, 0.3941)  4 Ge 3.01, 1 Sb 3.11

VASP calculation (PBEsol) on a relaxed AgPt3 crystal.

The energy relative to the elements is 28 meV per atom. Its density is 18.79 g/cm³. As for the raw total energy: -6.0224 eV/atom.

Cell lengths 2.7330, 2.7330, 9.4679 Å; angles 90.00, 90.00, 120.00 degrees
With the nearest neighbours (Å) after each atom.
Space group P-6m2 (No. 187)
Unique sites:
Ag (0.0000, 0.0000, 0.0000)  6 Ag 2.73, 6 Pt 2.86
Pt (0.0000, 0.0000, 0.5000)  12 Pt 2.73-2.83
Pt (0.6667, 0.3333, 0.2517)  9 Pt 2.73-2.83, 3 Ag 2.86

VASP calculation (PBEsol) on a relaxed Mg2AgPd crystal.

The energy relative to the elements is -472 meV per atom. Its density is 6.55 g/cm³. As for the raw total energy: -3.6485 eV/atom.

Cell lengths 3.1993, 3.1993, 6.5093 Å; angles 90.00, 90.00, 90.00 degrees
With the nearest neighbours (Å) after each atom.
Space group P4/mmm (No. 123)
Unique sites:
Mg (0.0000, 0.0000, 0.2354)  4 Pd 2.73, 4 Ag 2.84
Ag (0.5000, 0.5000, 0.5000)  8 Mg 2.84
Pd (0.5000, 0.5000, 0.0000)  8 Mg 2.73

VASP calculation (PBEsol) on a relaxed MnIr4Br crystal.

Its density is 15.17 g/cm³. As for the raw total energy: -7.5326 eV/atom.

Cell lengths 7.3414, 7.3414, 7.3414 Å; angles 90.00, 90.00, 90.00 degrees
With the nearest neighbours (Å) after each atom.
Space group F-43m (No. 216)
Unique sites:
Mn (0.0000, 0.0000, 0.0000)  12 Ir 3.04, 4 Br 3.18
Ir (0.1253, 0.1253, 0.6253)  6 Ir 2.59-2.60
Br (0.2500, 0.2500, 0.2500)  12 Ir 3.04, 4 Mn 3.18

VASP calculation (PBEsol) on a relaxed Os2RuRh crystal.

The energy relative to the elements is 575 meV per atom. Its density is 17.22 g/cm³. The energy above the most stable polymorph in this dataset is 490.9 meV per atom. As for the raw total energy: -10.1111 eV/atom.

Cell lengths 3.2328, 3.2328, 5.3911 Å; angles 90.00, 90.00, 90.00 degrees
With the nearest neighbours (Å) after each atom.
Space group P4mm (No. 99)
Unique sites:
Os (0.0000, 0.0000, 0.0000)  4 Ru 2.65, 4 Os 2.66, 2 Rh 2.68-2.71
Os (0.5000, 0.5000, 0.2522)  4 Rh 2.66, 4 Os 2.66, 2 Ru 2.68-2.71
Ru (0.5000, 0.5000, 0.7496)  4 Rh 2.64, 6 Os 2.65-2.71
Rh (0.0000, 0.0000, 0.5031)  4 Ru 2.64, 6 Os 2.66-2.71

VASP calculation (PBEsol) on a relaxed KTcAg2 crystal.

The energy relative to the elements is 650 meV per atom. Its density is 7.89 g/cm³. The energy above the most stable polymorph in this dataset is 0.0 meV per atom. As for the raw total energy: -4.1052 eV/atom.

Cell lengths 2.7509, 2.7509, 9.8125 Å; angles 90.00, 90.00, 90.00 degrees
With the nearest neighbours (Å) after each atom.
Space group P4/mmm (No. 123)
Unique sites:
K (0.0000, 0.0000, 0.0000)  4 K 2.75
Tc (0.0000, 0.0000, 0.5000)  4 Tc 2.75, 8 Ag 2.84
Ag (0.5000, 0.5000, 0.2890)  4 Ag 2.75, 4 Tc 2.84